VASP calculation (PBE with a Hubbard U) on VRuN2F after structural relaxation.

Cell: 3.8190 3.8190 4.3134 Å, 90.00 90.00 90.00°
Last column: magnetic moment on the atom in μB.
Positions (direct):
N 0.0000 0.5000 0.0000  -0.14
N 0.5000 0.0000 0.0000  -0.14
F 0.0000 0.0000 0.5000  0.01
V 0.5000 0.5000 0.5000  -0.07
Ru 0.0000 0.0000 0.0000  0.08

Computed properties:
raw total energy = -6.37 eV/atom
spin magnetization = 0.074 μB/atom
V = 12.6 Å³/atom